# 1
# FeTcRh2 PBE-GGA optimized geometry
data_FeTcRh2
_chemical_formula_sum 'Fe1 Tc1 Rh2'
_symmetry_space_group_name_H-M 'P 1'
_symmetry_Int_Tables_number 1
_cell_length_a 2.708
_cell_length_b 3.776
_cell_length_c 5.375
_cell_angle_alpha 90.00
_cell_angle_beta 90.00
_cell_angle_gamma 90.00
loop_
_symmetry_equiv_pos_as_xyz
'x,y,z'
loop_
_atom_site_label
_atom_site_type_symbol
_atom_site_fract_x
_atom_site_fract_y
_atom_site_fract_z
_atom_site_occupancy
Fe1 Fe 0.000 0.000 0.000 1
Tc1 Tc 0.000 0.000 0.500 1
Rh1 Rh 0.500 0.500 0.248 1
Rh2 Rh 0.500 0.500 0.752 1
# symmetry: Pmmm (47)
# excess energy over the best structure of this formula in the dataset: 0.012 eV/atom



# 2
# FeTc2Rh PBE-GGA optimized geometry
data_FeTc2Rh
_chemical_formula_sum 'Fe1 Tc2 Rh1'
_symmetry_space_group_name_H-M 'P 1'
_symmetry_Int_Tables_number 1
_cell_length_a 2.678
_cell_length_b 3.823
_cell_length_c 5.388
_cell_angle_alpha 90.00
_cell_angle_beta 90.00
_cell_angle_gamma 90.00
loop_
_symmetry_equiv_pos_as_xyz
'x,y,z'
loop_
_atom_site_label
_atom_site_type_symbol
_atom_site_fract_x
_atom_site_fract_y
_atom_site_fract_z
_atom_site_occupancy
Fe1 Fe 0.000 0.000 0.000 1
Tc1 Tc 0.000 0.000 0.503 1
Tc2 Tc 0.500 0.500 0.758 1
Rh1 Rh 0.500 0.500 0.243 1
# symmetry: Pmm2 (25)
# excess energy over the best structure of this formula in the dataset: 0.028 eV/atom



Computed formation enthalpy at 0 K, in the same sequence as the records: -0.07; 0.03 eV per atom.